A plane-wave DFT calculation with PBE-GGA was carried out for a relaxed structure of CdInHg4Pb.

## Properties
formation energy: 124 meV/atom
space-group type: Cmcm (63)
M_tot: 0.00 μB per cell

The structure in extended XYZ format:
```
14
Lattice="-3.944 2.572 7.562 3.912 -7.891 1.334 5.558 3.069 1.855" Properties=species:S:1:pos:R:3 pbc="T T T"
Pb 2.763 -1.125 5.375
Pb -0.016 -2.660 4.448
Hg 1.374 -3.282 7.211
Hg 4.152 1.032 3.540
Hg 4.410 -3.329 4.063
Hg 4.136 -1.726 8.152
Hg 1.642 -4.858 3.140
Hg 3.884 2.607 7.611
Hg 1.116 1.079 6.687
Hg 1.390 -0.525 2.599
Cd -1.646 2.130 7.306
Cd 7.172 -4.380 3.445
In 4.463 -6.008 2.462
In 1.063 3.758 8.289
```